[1]
! Li3CoPb, single point on PBEsol structure, DFT SCAN; values from VASP
! **ΔH_f (0 K)**: 0.67 eV/atom
! **Symmetry**: No. 221
&SYSTEM
  ibrav = 0, nat = 5, ntyp = 3
/
ATOMIC_SPECIES
Li 6.94 Li.upf
Co 58.93 Co.upf
Pb 207.20 Pb.upf
CELL_PARAMETERS angstrom
4.991 0.000 0.000
0.000 4.991 0.000
0.000 0.000 4.991
ATOMIC_POSITIONS angstrom
Li 0.000 0.000 2.496
Li 0.000 2.496 0.000
Li 2.496 0.000 0.000
Co 2.496 2.496 2.496
Pb 0.000 0.000 0.000

---

[2]
! LiCo3Pd, single point on PBEsol structure, DFT SCAN; values from VASP
! **ΔH_f (0 K)**: 0.89 eV/atom
! **Symmetry**: No. 221
&SYSTEM
  ibrav = 0, nat = 5, ntyp = 3
/
ATOMIC_SPECIES
Li 6.94 Li.upf
Co 58.93 Co.upf
Pd 106.42 Pd.upf
CELL_PARAMETERS angstrom
3.849 0.000 0.000
0.000 3.849 0.000
0.000 0.000 3.849
ATOMIC_POSITIONS angstrom
Li 0.000 0.000 0.000
Co 0.000 0.000 1.924
Co 0.000 1.924 0.000
Co 1.924 0.000 0.000
Pd 1.924 1.924 1.924

---

Question: Which formula does entry 1 have?
Answer: Li3CoPb

---

Question: Among the records above, which one has the lowest ΔH_f (0 K)?
Answer: Li3CoPb